## Dy2GaCu9 (PBE)

Data for crystalline Dy2GaCu9 at its relaxed geometry.

Cell and atoms, written as POSCAR:
```
Dy2GaCu9
1.0
2.5448 1.4692 8.2100
-2.5448 1.4692 8.2100
0.0000 -2.9384 8.2100
Dy Ga Cu
2 1 9
direct
0.1347 0.1347 0.1347
0.8653 0.8653 0.8653
0.0000 0.0000 0.0000
0.0792 0.5833 0.5833
0.3331 0.3331 0.3331
0.4167 0.4167 0.9208
0.4167 0.9208 0.4167
0.5000 0.5000 0.5000
0.5833 0.0792 0.5833
0.5833 0.5833 0.0792
0.6669 0.6669 0.6669
0.9208 0.4167 0.4167
```

Properties
Formation enthalpy at 0 K, eV/atom: -0.0844
Space-group type: No. 166
Calculated total energy, eV for the cell shown: -50.110

## Pr8CuRu3I4 (PBE)

Data for crystalline Pr8CuRu3I4 at its relaxed geometry.

Cell and atoms, written as POSCAR:
```
Pr8CuRu3I4
1.0
4.1996 2.4247 8.2425
-4.1996 2.4247 8.2425
0.0000 -4.8493 8.2425
Pr Cu Ru I
8 1 3 4
direct
0.2162 0.7348 0.7348
0.2298 0.2298 0.2298
0.2652 0.2652 0.7838
0.2652 0.7838 0.2652
0.7348 0.2162 0.7348
0.7348 0.7348 0.2162
0.7702 0.7702 0.7702
0.7838 0.2652 0.2652
0.5000 0.5000 0.5000
0.0000 0.0000 0.5000
0.0000 0.5000 0.0000
0.5000 0.0000 0.0000
0.0000 0.0000 0.0000
0.0000 0.5000 0.5000
0.5000 0.0000 0.5000
0.5000 0.5000 0.0000
```

Properties
Space-group type: No. 166
ΔE_f (raw), meV/atom: -639
Calculated total energy, eV for the cell shown: -86.578

## Th2GaCo6Si (PBE)

Data for crystalline Th2GaCo6Si at its relaxed geometry.

Cell and atoms, written as POSCAR:
```
Th2GaCo6Si
1.0
0.0000 4.3331 4.3331
4.3331 0.0000 4.3331
4.3331 4.3331 0.0000
Th Ga Co Si
2 1 6 1
direct
0.2500 0.2500 0.2500
0.7500 0.7500 0.7500
0.0000 0.0000 0.0000
0.2561 0.2561 0.7439
0.2561 0.7439 0.2561
0.2561 0.7439 0.7439
0.7439 0.2561 0.2561
0.7439 0.2561 0.7439
0.7439 0.7439 0.2561
0.5000 0.5000 0.5000
```

Properties
Space-group type: No. 225
ΔE_f (raw), meV/atom: -3
Calculated total energy, eV for the cell shown: -65.956

## LiTbCd2Au4 (PBE)

Data for crystalline LiTbCd2Au4 at its relaxed geometry.

Cell and atoms, written as POSCAR:
```
LiTbCd2Au4
1.0
2.3988 1.3850 7.9650
-2.3988 1.3850 7.9650
0.0000 -2.7699 7.9650
Li Tb Cd Au
1 1 2 4
direct
0.0000 0.0000 0.0000
0.5000 0.5000 0.5000
0.2521 0.2521 0.2521
0.7479 0.7479 0.7479
0.1153 0.1153 0.1153
0.3724 0.3724 0.3724
0.6276 0.6276 0.6276
0.8847 0.8847 0.8847
```

Properties
Formation enthalpy at 0 K, eV/atom: -0.5079
Space-group type: No. 166
Calculated total energy, eV for the cell shown: -25.547